# 1
{"formula": "TlRe2Tc", "functional": "SCAN", "state": "single point on PBEsol structure", "dft_energy_ev_per_atom": -61.88, "rho_kg_m3": 17419, "lattice": [[-0.994, -0.864, 2.520], [-2.581, -1.178, 0.182], [2.498, -8.978, -0.488]], "species": ["Tl", "Tc", "Re", "Re"], "frac_coords": [[0.249, 0.249, 0.253], [0.493, 0.493, 0.520], [0.007, 0.007, 0.979], [0.751, 0.751, 0.748]]}

# 2
{"formula": "TlReTc2", "functional": "SCAN", "state": "single point on PBEsol structure", "e_above_lowest_polymorph_mev_per_atom": 18, "rho_kg_m3": 15563, "lattice": [[2.882, 0.000, 0.000], [0.000, 4.790, 0.011], [0.000, -1.560, 4.529]], "species": ["Tc", "Tc", "Tl", "Re"], "frac_coords": [[0.000, 0.000, 0.500], [0.000, 0.500, 0.000], [0.500, 0.000, 0.000], [0.500, 0.500, 0.500]]}

# 3
{"formula": "Tl3ReTc", "functional": "SCAN", "state": "single point on PBEsol structure", "dft_energy_ev_per_atom": -62.99, "rho_kg_m3": 10735, "lattice": [[5.178, 0.000, 0.000], [0.000, 5.178, 0.000], [0.000, 0.000, 5.178]], "species": ["Tl", "Tl", "Tl", "Re", "Tc"], "frac_coords": [[0.500, 0.000, 0.000], [0.000, 0.500, 0.000], [0.000, 0.000, 0.500], [0.500, 0.500, 0.500], [0.000, 0.000, 0.000]]}

# 4
{"formula": "TlReTc2", "functional": "SCAN", "state": "single point on PBEsol structure", "e_above_lowest_polymorph_mev_per_atom": 38, "rho_kg_m3": 15511, "lattice": [[-1.589, 0.037, 2.805], [-3.262, -2.290, -1.817], [4.427, -2.663, 0.690]], "species": ["Tl", "Tc", "Tc", "Re"], "frac_coords": [[0.500, 0.000, 0.000], [0.745, 0.745, 0.490], [0.255, 0.255, 0.510], [0.000, 0.500, 0.000]]}

# 5
{"formula": "TlReTc2", "functional": "SCAN", "state": "single point on PBEsol structure", "e_above_lowest_polymorph_mev_per_atom": 4, "rho_kg_m3": 15596, "lattice": [[3.828, 0.000, 0.000], [0.000, 3.828, 0.000], [-1.914, -1.914, 4.261]], "species": ["Tc", "Tc", "Tl", "Re"], "frac_coords": [[0.750, 0.250, 0.500], [0.000, 0.000, 0.000], [0.500, 0.500, 0.000], [0.250, 0.750, 0.500]]}

# 6
{"formula": "TlReTc2", "functional": "SCAN", "state": "single point on PBEsol structure", "e_above_lowest_polymorph_mev_per_atom": 0, "rho_kg_m3": 15059, "lattice": [[-0.005, -0.779, 2.674], [1.982, -1.105, -1.616], [5.658, 7.107, 2.081]], "species": ["Re", "Tc", "Tc", "Tl"], "frac_coords": [[0.500, 0.500, 0.229], [0.000, 0.000, 0.998], [0.500, 0.500, 0.770], [0.000, 0.000, 0.503]]}

# 7
{"formula": "TmReTc2", "functional": "SCAN", "state": "single point on PBEsol structure", "dft_energy_ev_per_atom": -48.36, "rho_kg_m3": 14488, "lattice": [[4.470, 0.000, 0.000], [2.235, 3.871, 0.000], [2.235, 1.290, 3.650]], "species": ["Re", "Tc", "Tc", "Tm"], "frac_coords": [[0.500, 0.500, 0.500], [0.250, 0.250, 0.250], [0.750, 0.750, 0.750], [0.000, 0.000, 0.000]]}

# 8
{"formula": "V2ReTc", "functional": "SCAN", "state": "single point on PBEsol structure", "dft_energy_ev_per_atom": -35.79, "rho_kg_m3": 11911, "lattice": [[-1.390, 3.644, 1.660], [-4.090, 1.059, -0.339], [-2.492, -0.047, 3.428]], "species": ["V", "V", "Tc", "Re"], "frac_coords": [[0.250, 0.250, 0.250], [0.750, 0.750, 0.750], [0.000, 0.000, 0.000], [0.500, 0.500, 0.500]]}

# 9
{"formula": "Re2TcW", "functional": "SCAN", "state": "single point on PBEsol structure", "e_above_lowest_polymorph_mev_per_atom": 0, "rho_kg_m3": 18350, "lattice": [[3.895, 0.000, 0.000], [0.000, 3.895, 0.000], [-1.947, -1.947, 3.903]], "species": ["Re", "Re", "W", "Tc"], "frac_coords": [[0.750, 0.250, 0.500], [0.250, 0.750, 0.500], [0.000, 0.000, 0.000], [0.500, 0.500, 0.000]]}

# 10
{"formula": "Re2TcW", "functional": "SCAN", "state": "single point on PBEsol structure", "e_above_lowest_polymorph_mev_per_atom": 19, "rho_kg_m3": 18315, "lattice": [[-3.310, 0.186, -2.859], [-1.665, -3.691, -1.664], [-3.998, -1.329, 1.190]], "species": ["W", "Tc", "Re", "Re"], "frac_coords": [[0.500, 0.500, 0.500], [0.000, 0.000, 0.000], [0.750, 0.750, 0.750], [0.250, 0.250, 0.250]]}

# 11
{"formula": "ReTcW", "functional": "SCAN", "state": "single point on PBEsol structure", "dft_energy_ev_per_atom": -58.49, "rho_kg_m3": 17447, "lattice": [[-2.322, -0.289, 1.328], [-0.200, -1.146, -2.426], [3.390, -4.933, 3.044]], "species": ["Tc", "Re", "W"], "frac_coords": [[0.333, 0.333, 0.667], [0.999, 0.999, 0.998], [0.667, 0.667, 0.335]]}

# 12
{"formula": "Re3TcW", "functional": "SCAN", "state": "single point on PBEsol structure", "dft_energy_ev_per_atom": -61.14, "rho_kg_m3": 14247, "lattice": [[4.610, 0.000, 0.000], [0.000, 4.610, 0.000], [0.000, 0.000, 4.610]], "species": ["Re", "Re", "Re", "W", "Tc"], "frac_coords": [[0.000, 0.000, 0.500], [0.000, 0.500, 0.000], [0.500, 0.000, 0.000], [0.000, 0.000, 0.000], [0.500, 0.500, 0.500]]}